[1]
A plane-wave DFT calculation with GGA-PBEsol was carried out for a geometry-optimized Be2CoPb structure.

The calculation puts the formation enthalpy at 0 K at 461 meV/atom. The final energy is -17.89 eV/cell. The density of states at the Fermi level comes out at 2.14 states/eV per cell.

The structure belongs to space group P2/m (No. 10); the cell edges are 2.907, 3.838 and 4.981 Å and the angles 90.00°, 99.66° and 90.00°. Symmetry generates all atoms from Be at (0.191, 0.000, 0.339), Co at (0.500, 0.500, 0.500) and Pb at (0.000, 0.500, 0.000).

---

[2]
A plane-wave DFT calculation with GGA-PBEsol was carried out for a geometry-optimized BeCo3Pb structure.

The calculation puts the formation enthalpy at 0 K at 2106 meV/atom. The final energy is -20.68 eV/cell. The density of states at the Fermi level comes out at 12.12 states/eV per cell.

The structure belongs to space group Pm-3m (No. 221); the cell edges are 4.659, 4.659 and 4.659 Å and the angles 90.00°, 90.00° and 90.00°. Symmetry generates all atoms from Be at (0.000, 0.000, 0.000), Co at (0.000, 0.500, 0.500) and Pb at (0.500, 0.500, 0.500).

---

[3]
A plane-wave DFT calculation with GGA-PBEsol was carried out for a geometry-optimized TiBeCoPb2 structure.

The calculation puts the formation enthalpy at 0 K at 732 meV/atom. The final energy is -24.39 eV/cell. The density of states at the Fermi level comes out at 4.47 states/eV per cell.

The structure belongs to space group P4/mmm (No. 123); the cell edges are 4.919, 4.919 and 4.386 Å and the angles 90.00°, 90.00° and 90.00°. Symmetry generates all atoms from Ti at (0.000, 0.000, 0.000), Be at (0.500, 0.500, 0.000), Co at (0.000, 0.000, 0.500) and Pb at (0.000, 0.500, 0.500).

---

[4]
A plane-wave DFT calculation with GGA-PBEsol was carried out for a geometry-optimized BeCo3Pd structure.

The calculation puts the formation enthalpy at 0 K at 503 meV/atom. The final energy is -30.66 eV/cell. The density of states at the Fermi level comes out at 5.45 states/eV per cell.

The structure belongs to space group Pm-3m (No. 221); the cell edges are 3.828, 3.828 and 3.828 Å and the angles 90.00°, 90.00° and 90.00°. Symmetry generates all atoms from Be at (0.000, 0.000, 0.000), Co at (0.000, 0.000, 0.500) and Pd at (0.500, 0.500, 0.500).

---

[5]
A plane-wave DFT calculation with GGA-PBEsol was carried out for a geometry-optimized BeCo2Pd structure.

The calculation puts the formation enthalpy at 0 K at 248 meV/atom. The final energy is -97.76 eV/cell. The density of states at the Fermi level comes out at 15.80 states/eV per cell.

The structure belongs to space group I-42d (No. 122); the cell edges are 3.271, 3.271 and 17.468 Å and the angles 90.00°, 90.00° and 90.00°. Symmetry generates all atoms from Be at (0.000, 0.000, 0.000), Co at (0.226, 0.250, 0.125) and Pd at (0.000, 0.000, 0.500).

---

[6]
A plane-wave DFT calculation with GGA-PBEsol was carried out for a geometry-optimized BeCo2Pt structure.

The calculation puts the formation enthalpy at 0 K at -155 meV/atom. The final energy is -54.12 eV/cell. The density of states at the Fermi level comes out at 8.51 states/eV per cell.

The structure belongs to space group I4/mmm (No. 139); the cell edges are 3.403, 3.403 and 7.677 Å and the angles 90.00°, 90.00° and 90.00°. Symmetry generates all atoms from Be at (0.000, 0.000, 0.000), Co at (0.000, 0.500, 0.250) and Pt at (0.000, 0.000, 0.500).

---

Number 1: magnetization 0.149 μB/cell. Number 2: magnetization 3.827 μB/cell. Number 3: magnetization 0.001 μB/cell. Number 4: magnetization 4.271 μB/cell. Number 5: magnetization 13.747 μB/cell. Number 6: magnetization 6.549 μB/cell.